i | The following is a DFT calculation (meta-GGA SCAN) of a PBEsol-optimized structure of SrInSe.

Cell lengths 5.191, 5.191, 5.191 Å; angles 60.00, 60.00, 60.00 degrees
Sites, in units of the cell vectors:
1 Sr 0.000 0.000 0.000
2 In 0.750 0.750 0.750
3 Se 0.250 0.250 0.250

Output
The space group is F-43m. The calculation puts the density of states at the Fermi level at 0.858 states/eV per atom. The calculation puts the total magnetization at 0.0 μB/f.u.

***

ii | The following is a DFT calculation (meta-GGA SCAN) of a PBEsol-optimized structure of SrInSe.

Cell lengths 4.975, 4.975, 3.973 Å; angles 90.00, 90.00, 120.00 degrees
Sites, in units of the cell vectors:
1 Sr 0.000 0.000 0.000
2 In 0.667 0.333 0.500
3 Se 0.333 0.667 0.500

Output
The space group is P-6m2. The calculation puts the density of states at the Fermi level at 0.390 states/eV per atom. The calculation puts the total magnetization at 0.0 μB/f.u.

***

The most stable of them is ii.

***

i | The following is a DFT calculation (meta-GGA SCAN) of a PBEsol-optimized structure of Ta2InSe.

Cell lengths 3.361, 3.361, 6.838 Å; angles 90.00, 90.00, 90.00 degrees
Sites, in units of the cell vectors:
1 Ta 0.000 0.000 0.000
2 Ta 0.500 0.500 0.231
3 In 0.000 0.000 0.484
4 Se 0.500 0.500 0.825

Output
The space group is P4mm. The calculation puts the density of states at the Fermi level at 0.894 states/eV per atom. The calculation puts the total magnetization at 0.0 μB/f.u.

***

ii | The following is a DFT calculation (meta-GGA SCAN) of a PBEsol-optimized structure of Ta2InSe.

Cell lengths 4.780, 4.780, 3.116 Å; angles 90.00, 90.00, 90.00 degrees
Sites, in units of the cell vectors:
1 Ta 0.000 0.500 0.000
2 Ta 0.500 0.000 0.000
3 In 0.000 0.000 0.500
4 Se 0.500 0.500 0.500

Output
The space group is P4/mmm. The calculation puts the density of states at the Fermi level at 0.544 states/eV per atom. The calculation puts the total magnetization at 0.0 μB/f.u.

***

iii | The following is a DFT calculation (meta-GGA SCAN) of a PBEsol-optimized structure of Ta2InSe.

Cell lengths 5.288, 5.288, 5.288 Å; angles 134.91, 134.91, 65.67 degrees
Sites, in units of the cell vectors:
1 Ta 0.000 0.000 0.000
2 Ta 0.750 0.250 0.500
3 In 0.500 0.500 0.000
4 Se 0.250 0.750 0.500

Output
The space group is I-4m2. The calculation puts the density of states at the Fermi level at 0.779 states/eV per atom. The calculation puts the total magnetization at 0.0 μB/f.u.

***

The most stable of them is i.

***

i | The following is a DFT calculation (meta-GGA SCAN) of a PBEsol-optimized structure of In2TeSe.

Cell lengths 3.000, 5.940, 6.035 Å; angles 90.00, 90.00, 90.00 degrees
Sites, in units of the cell vectors:
1 In 0.000 0.000 0.000
2 In 0.500 0.500 0.500
3 Te 0.000 0.000 0.500
4 Se 0.500 0.500 0.000

Output
The space group is Pmmm. The calculation puts the density of states at the Fermi level at 0.416 states/eV per atom. The calculation puts the total magnetization at 0.0 μB/f.u.

***

ii | The following is a DFT calculation (meta-GGA SCAN) of a PBEsol-optimized structure of In2TeSe.

Cell lengths 3.618, 3.618, 7.630 Å; angles 90.00, 90.00, 90.00 degrees
Sites, in units of the cell vectors:
1 In 0.000 0.000 0.225
2 In 0.000 0.000 0.775
3 Te 0.500 0.500 0.500
4 Se 0.500 0.500 0.000

Output
The space group is P4/mmm. The calculation puts the density of states at the Fermi level at 0.344 states/eV per atom. The calculation puts the total magnetization at 0.0 μB/f.u.

***

iii | The following is a DFT calculation (meta-GGA SCAN) of a PBEsol-optimized structure of In2TeSe.

Cell lengths 4.206, 4.206, 6.122 Å; angles 90.00, 90.00, 90.00 degrees
Sites, in units of the cell vectors:
1 In 0.000 0.000 0.000
2 In 0.500 0.500 0.456
3 Te 0.500 0.500 0.950
4 Se 0.000 0.000 0.456

Output
The space group is P4mm. The calculation puts the density of states at the Fermi level at 0.455 states/eV per atom. The calculation puts the total magnetization at 0.0 μB/f.u.

***

The most stable of them is iii.

***

i | The following is a DFT calculation (meta-GGA SCAN) of a PBEsol-optimized structure of ZnInSe3.

Cell lengths 5.187, 5.187, 5.187 Å; angles 90.00, 90.00, 90.00 degrees
Sites, in units of the cell vectors:
1 Zn 0.000 0.000 0.000
2 In 0.500 0.500 0.500
3 Se 0.000 0.500 0.500
4 Se 0.500 0.000 0.500
5 Se 0.500 0.500 0.000

Output
The space group is Pm-3m. The calculation puts the density of states at the Fermi level at 1.236 states/eV per atom. The calculation puts the total magnetization at 0.0 μB/f.u.

***

ii | The following is a DFT calculation (meta-GGA SCAN) of a PBEsol-optimized structure of ZnInSe3.

Cell lengths 4.892, 4.892, 4.892 Å; angles 90.00, 90.00, 90.00 degrees
Sites, in units of the cell vectors:
1 Zn 0.000 0.000 0.000
2 In 0.500 0.500 0.500
3 Se 0.000 0.000 0.500
4 Se 0.000 0.500 0.000
5 Se 0.500 0.000 0.000

Output
The space group is Pm-3m. The calculation puts the density of states at the Fermi level at 1.104 states/eV per atom. The calculation puts the total magnetization at 0.0 μB/f.u.

***

The most stable of them is ii.

***

i | The following is a DFT calculation (meta-GGA SCAN) of a PBEsol-optimized structure of Zr2InSe.

Cell lengths 3.540, 3.540, 7.245 Å; angles 90.00, 90.00, 90.00 degrees
Sites, in units of the cell vectors:
1 Zr 0.000 0.000 0.000
2 Zr 0.500 0.500 0.262
3 In 0.000 0.000 0.496
4 Se 0.500 0.500 0.865

Output
The space group is P4mm. The calculation puts the density of states at the Fermi level at 0.457 states/eV per atom. The calculation puts the total magnetization at 0.0 μB/f.u.

***

ii | The following is a DFT calculation (meta-GGA SCAN) of a PBEsol-optimized structure of Zr2InSe.

Cell lengths 3.229, 3.229, 7.625 Å; angles 90.00, 90.00, 90.00 degrees
Sites, in units of the cell vectors:
1 Zr 0.000 0.000 0.217
2 Zr 0.000 0.000 0.783
3 In 0.500 0.500 0.500
4 Se 0.500 0.500 0.000

Output
The space group is P4/mmm. The calculation puts the density of states at the Fermi level at 0.586 states/eV per atom. The calculation puts the total magnetization at 0.0 μB/f.u.

***

The most stable of them is ii.

***

i | The following is a DFT calculation (meta-GGA SCAN) of a PBEsol-optimized structure of InSiTe2.

Cell lengths 3.446, 3.446, 9.181 Å; angles 90.00, 90.00, 108.65 degrees
Sites, in units of the cell vectors:
1 In 0.000 0.000 0.000
2 Si 0.500 0.500 0.222
3 Te 0.000 0.000 0.412
4 Te 0.500 0.500 0.755

Output
The space group is Cmm2. The calculation puts the density of states at the Fermi level at 0.390 states/eV per atom. The calculation puts the total magnetization at 0.0 μB/f.u.

***

ii | The following is a DFT calculation (meta-GGA SCAN) of a PBEsol-optimized structure of InSiTe2.

Cell lengths 3.634, 3.634, 7.325 Å; angles 90.00, 90.00, 90.00 degrees
Sites, in units of the cell vectors:
1 In 0.000 0.000 0.000
2 Si 0.000 0.000 0.500
3 Te 0.500 0.500 0.272
4 Te 0.500 0.500 0.728

Output
The space group is P4/mmm. The calculation puts the density of states at the Fermi level at 0.501 states/eV per atom. The calculation puts the total magnetization at 0.0 μB/f.u.

***

iii | The following is a DFT calculation (meta-GGA SCAN) of a PBEsol-optimized structure of InSiTe2.

Cell lengths 3.369, 3.369, 9.021 Å; angles 90.00, 90.00, 90.00 degrees
Sites, in units of the cell vectors:
1 In 0.000 0.000 0.000
2 Si 0.500 0.500 0.230
3 Te 0.000 0.000 0.389
4 Te 0.500 0.500 0.740

Output
The space group is P4mm. The calculation puts the density of states at the Fermi level at 0.464 states/eV per atom. The calculation puts the total magnetization at 0.0 μB/f.u.

***

iv | The following is a DFT calculation (meta-GGA SCAN) of a PBEsol-optimized structure of InSiTe2.

Cell lengths 5.136, 5.136, 5.136 Å; angles 60.00, 60.00, 60.00 degrees
Sites, in units of the cell vectors:
1 In 0.000 0.000 0.000
2 Si 0.500 0.500 0.500
3 Te 0.250 0.250 0.250
4 Te 0.750 0.750 0.750

Output
The space group is Fm-3m. The calculation puts the density of states at the Fermi level at 0.809 states/eV per atom. The calculation puts the total magnetization at 0.0 μB/f.u.

***

The most stable of them is iii.

***

i | The following is a DFT calculation (meta-GGA SCAN) of a PBEsol-optimized structure of In2SiTe.

Cell lengths 3.134, 5.219, 5.911 Å; angles 90.00, 96.96, 90.00 degrees
Sites, in units of the cell vectors:
1 In 0.200 0.000 0.264
2 In 0.800 0.000 0.736
3 Si 0.500 0.500 0.500
4 Te 0.500 0.500 0.000

Output
The space group is P2/m. The calculation puts the density of states at the Fermi level at 0.446 states/eV per atom. The calculation puts the total magnetization at 0.0 μB/f.u.

***

ii | The following is a DFT calculation (meta-GGA SCAN) of a PBEsol-optimized structure of In2SiTe.

Cell lengths 5.864, 5.864, 5.703 Å; angles 118.68, 118.68, 36.39 degrees
Sites, in units of the cell vectors:
1 In 0.000 0.000 0.000
2 In 0.173 0.173 0.619
3 Si 0.445 0.445 0.574
4 Te 0.786 0.786 0.195

Output
The space group is Cm. The calculation puts the density of states at the Fermi level at 0.398 states/eV per atom. The calculation puts the total magnetization at 0.0 μB/f.u.

***

iii | The following is a DFT calculation (meta-GGA SCAN) of a PBEsol-optimized structure of In2SiTe.

Cell lengths 5.118, 5.118, 5.118 Å; angles 60.00, 60.00, 60.00 degrees
Sites, in units of the cell vectors:
1 In 0.250 0.250 0.250
2 In 0.750 0.750 0.750
3 Si 0.000 0.000 0.000
4 Te 0.500 0.500 0.500

Output
The space group is Fm-3m. The calculation puts the density of states at the Fermi level at 0.584 states/eV per atom. The calculation puts the total magnetization at 0.0 μB/f.u.

***

The most stable of them is ii.

***

i | The following is a DFT calculation (meta-GGA SCAN) of a PBEsol-optimized structure of InSiW2.

Cell lengths 3.229, 4.328, 4.614 Å; angles 90.00, 90.00, 90.00 degrees
Sites, in units of the cell vectors:
1 In 0.000 0.000 0.000
2 Si 0.500 0.000 0.500
3 W 0.000 0.500 0.500
4 W 0.500 0.500 0.000

Output
The space group is Pmmm. The calculation puts the density of states at the Fermi level at 0.573 states/eV per atom. The calculation puts the total magnetization at 0.0 μB/f.u.

***

ii | The following is a DFT calculation (meta-GGA SCAN) of a PBEsol-optimized structure of InSiW2.

Cell lengths 3.209, 3.209, 6.341 Å; angles 90.00, 90.00, 90.00 degrees
Sites, in units of the cell vectors:
1 In 0.000 0.000 0.000
2 Si 0.500 0.500 0.290
3 W 0.000 0.000 0.480
4 W 0.500 0.500 0.716

Output
The space group is P4mm. The calculation puts the density of states at the Fermi level at 0.255 states/eV per atom. The calculation puts the total magnetization at 0.0 μB/f.u.

***

The most stable of them is ii.